Entry 1:
A relaxed SiTe2WI crystal, computed with PBE-GGA.

Offset from the most stable computed form (meV/atom): 0
Uncorrected energy (eV/cell): -21.2
Crystal system: tetragonal
M_tot (μB per cell): 2.4
Fermi-level density of states (states/eV/atom): 0.9579

The structure in CIF format:
```
data_SiTe2WI
_cell_length_a 5.294
_cell_length_b 5.294
_cell_length_c 5.588
_cell_angle_alpha 90.00
_cell_angle_beta 90.00
_cell_angle_gamma 90.00
_symmetry_space_group_name_H-M 'P 4/m m m'
_symmetry_Int_Tables_number 123
_symmetry_space_group_name_Hall '-P 4 2'
loop_
_atom_site_label
_atom_site_type_symbol
_atom_site_fract_x
_atom_site_fract_y
_atom_site_fract_z
Si1 Si 0.000 0.000 0.000
Te1 Te 0.000 0.500 0.500
W1 W 0.500 0.500 0.500
I1 I 0.500 0.500 0.000
```

***

Entry 2:
A relaxed YSiTeI2 crystal, computed with PBE-GGA.

Offset from the most stable computed form (meV/atom): 73
Uncorrected energy (eV/cell): -18.1
Crystal system: tetragonal
M_tot (μB per cell): 0.5
Fermi-level density of states (states/eV/atom): 0.8211

The structure in CIF format:
```
data_YSiTeI2
_cell_length_a 5.403
_cell_length_b 5.403
_cell_length_c 5.534
_cell_angle_alpha 90.00
_cell_angle_beta 90.00
_cell_angle_gamma 90.00
_symmetry_space_group_name_H-M 'P 4/m m m'
_symmetry_Int_Tables_number 123
_symmetry_space_group_name_Hall '-P 4 2'
loop_
_atom_site_label
_atom_site_type_symbol
_atom_site_fract_x
_atom_site_fract_y
_atom_site_fract_z
Y1 Y 0.000 0.000 0.000
Si1 Si 0.500 0.500 0.500
Te1 Te 0.500 0.500 0.000
I1 I 0.000 0.500 0.500
```

***

Entry 3:
A relaxed YSiTeI2 crystal, computed with PBE-GGA.

Offset from the most stable computed form (meV/atom): 0
Uncorrected energy (eV/cell): -18.4
Crystal system: tetragonal
M_tot (μB per cell): 1.0
Fermi-level density of states (states/eV/atom): 0.6047

The structure in CIF format:
```
data_YSiTeI2
_cell_length_a 5.891
_cell_length_b 5.891
_cell_length_c 6.048
_cell_angle_alpha 90.00
_cell_angle_beta 90.00
_cell_angle_gamma 90.00
_symmetry_space_group_name_H-M 'P 4/m m m'
_symmetry_Int_Tables_number 123
_symmetry_space_group_name_Hall '-P 4 2'
loop_
_atom_site_label
_atom_site_type_symbol
_atom_site_fract_x
_atom_site_fract_y
_atom_site_fract_z
Y1 Y 0.000 0.000 0.000
Si1 Si 0.500 0.500 0.500
Te1 Te 0.000 0.000 0.500
I1 I 0.000 0.500 0.000
```

***

Entry 4:
A relaxed ZnSiTeI2 crystal, computed with PBE-GGA.

Offset from the most stable computed form (meV/atom): 327
Uncorrected energy (eV/cell): -9.6
Crystal system: tetragonal
M_tot (μB per cell): 0.8
Fermi-level density of states (states/eV/atom): 0.8181

The structure in CIF format:
```
data_ZnSiTeI2
_cell_length_a 6.274
_cell_length_b 6.274
_cell_length_c 5.328
_cell_angle_alpha 90.00
_cell_angle_beta 90.00
_cell_angle_gamma 90.00
_symmetry_space_group_name_H-M 'P 4/m m m'
_symmetry_Int_Tables_number 123
_symmetry_space_group_name_Hall '-P 4 2'
loop_
_atom_site_label
_atom_site_type_symbol
_atom_site_fract_x
_atom_site_fract_y
_atom_site_fract_z
Zn1 Zn 0.000 0.000 0.000
Si1 Si 0.500 0.500 0.000
Te1 Te 0.500 0.500 0.500
I1 I 0.000 0.500 0.500
```

***

Entry 5:
A relaxed ZnSiTeI2 crystal, computed with PBE-GGA.

Offset from the most stable computed form (meV/atom): 210
Uncorrected energy (eV/cell): -10.2
Crystal system: tetragonal
M_tot (μB per cell): 0.0
Fermi-level density of states (states/eV/atom): 0.8406

The structure in CIF format:
```
data_ZnSiTeI2
_cell_length_a 5.413
_cell_length_b 5.413
_cell_length_c 5.529
_cell_angle_alpha 90.00
_cell_angle_beta 90.00
_cell_angle_gamma 90.00
_symmetry_space_group_name_H-M 'P 4/m m m'
_symmetry_Int_Tables_number 123
_symmetry_space_group_name_Hall '-P 4 2'
loop_
_atom_site_label
_atom_site_type_symbol
_atom_site_fract_x
_atom_site_fract_y
_atom_site_fract_z
Zn1 Zn 0.000 0.000 0.000
Si1 Si 0.500 0.500 0.500
Te1 Te 0.000 0.000 0.500
I1 I 0.000 0.500 0.000
```

***

Entry 6:
A relaxed ZnSiTeI2 crystal, computed with PBE-GGA.

Offset from the most stable computed form (meV/atom): 0
Uncorrected energy (eV/cell): -11.3
Crystal system: tetragonal
M_tot (μB per cell): 0.0
Fermi-level density of states (states/eV/atom): 0.7559

The structure in CIF format:
```
data_ZnSiTeI2
_cell_length_a 5.547
_cell_length_b 5.547
_cell_length_c 5.410
_cell_angle_alpha 90.00
_cell_angle_beta 90.00
_cell_angle_gamma 90.00
_symmetry_space_group_name_H-M 'P 4/m m m'
_symmetry_Int_Tables_number 123
_symmetry_space_group_name_Hall '-P 4 2'
loop_
_atom_site_label
_atom_site_type_symbol
_atom_site_fract_x
_atom_site_fract_y
_atom_site_fract_z
Zn1 Zn 0.000 0.000 0.000
Si1 Si 0.500 0.500 0.500
Te1 Te 0.500 0.500 0.000
I1 I 0.000 0.500 0.500
```

***

Entry 7:
A relaxed ZrSiTeI2 crystal, computed with PBE-GGA.

Offset from the most stable computed form (meV/atom): 0
Uncorrected energy (eV/cell): -18.9
Crystal system: tetragonal
M_tot (μB per cell): 1.8
Fermi-level density of states (states/eV/atom): 1.0250

The structure in CIF format:
```
data_ZrSiTeI2
_cell_length_a 5.714
_cell_length_b 5.714
_cell_length_c 5.660
_cell_angle_alpha 90.00
_cell_angle_beta 90.00
_cell_angle_gamma 90.00
_symmetry_space_group_name_H-M 'P 4/m m m'
_symmetry_Int_Tables_number 123
_symmetry_space_group_name_Hall '-P 4 2'
loop_
_atom_site_label
_atom_site_type_symbol
_atom_site_fract_x
_atom_site_fract_y
_atom_site_fract_z
Zr1 Zr 0.000 0.000 0.000
Si1 Si 0.500 0.500 0.500
Te1 Te 0.000 0.000 0.500
I1 I 0.000 0.500 0.000
```

***

Entry 8:
A relaxed ZrSiTeI2 crystal, computed with PBE-GGA.

Offset from the most stable computed form (meV/atom): 274
Uncorrected energy (eV/cell): -17.5
Crystal system: tetragonal
M_tot (μB per cell): 2.1
Fermi-level density of states (states/eV/atom): 0.8802

The structure in CIF format:
```
data_ZrSiTeI2
_cell_length_a 5.351
_cell_length_b 5.351
_cell_length_c 5.469
_cell_angle_alpha 90.00
_cell_angle_beta 90.00
_cell_angle_gamma 90.00
_symmetry_space_group_name_H-M 'P 4/m m m'
_symmetry_Int_Tables_number 123
_symmetry_space_group_name_Hall '-P 4 2'
loop_
_atom_site_label
_atom_site_type_symbol
_atom_site_fract_x
_atom_site_fract_y
_atom_site_fract_z
Zr1 Zr 0.000 0.000 0.000
Si1 Si 0.500 0.500 0.500
Te1 Te 0.500 0.500 0.000
I1 I 0.000 0.500 0.500
```

***

Entry 9:
A relaxed ThSiI crystal, computed with PBE-GGA.

Uncorrected energy (eV/cell): -65.6
Crystal system: monoclinic
M_tot (μB per cell): 0.0
Fermi-level density of states (states/eV/atom): 0.5944

The structure in CIF format:
```
data_ThSiI
_cell_length_a 5.273
_cell_length_b 5.687
_cell_length_c 12.604
_cell_angle_alpha 90.00
_cell_angle_beta 95.72
_cell_angle_gamma 90.00
_symmetry_space_group_name_H-M 'C 1 2/m 1'
_symmetry_Int_Tables_number 12
loop_
_symmetry_equiv_pos_as_xyz
'x,y,z'
'-x,-y,-z'
'-x,y,-z'
'x,-y,z'
'x+1/2,y+1/2,z'
'-x+1/2,-y+1/2,-z'
'-x+1/2,y+1/2,-z'
'x+1/2,-y+1/2,z'
loop_
_atom_site_label
_atom_site_type_symbol
_atom_site_fract_x
_atom_site_fract_y
_atom_site_fract_z
Th1 Th 0.194 0.000 0.168
Si1 Si 0.175 0.500 0.062
I1 I 0.227 0.500 0.342
```

***

Entry 10:
A relaxed Th3SiI3 crystal, computed with PBE-GGA.

Uncorrected energy (eV/cell): -76.2
Crystal system: monoclinic
M_tot (μB per cell): 0.0
Fermi-level density of states (states/eV/atom): 0.3723

The structure in CIF format:
```
data_Th3SiI3
_cell_length_a 9.371
_cell_length_b 4.082
_cell_length_c 12.501
_cell_angle_alpha 90.00
_cell_angle_beta 96.57
_cell_angle_gamma 90.00
_symmetry_space_group_name_H-M 'P 1 21/m 1'
_symmetry_Int_Tables_number 11
loop_
_symmetry_equiv_pos_as_xyz
'x,y,z'
'-x,-y,-z'
'-x,y+1/2,-z'
'x,-y+1/2,z'
loop_
_atom_site_label
_atom_site_type_symbol
_atom_site_fract_x
_atom_site_fract_y
_atom_site_fract_z
Th1 Th 0.079 0.250 0.317
Th2 Th 0.158 0.250 0.858
Th3 Th 0.256 0.750 0.096
Si1 Si 0.032 0.250 0.072
I1 I 0.162 0.250 0.593
I2 I 0.347 0.750 0.355
I3 I 0.444 0.750 0.861
```

***

Entry 11:
A relaxed TiSiI3 crystal, computed with PBE-GGA.

Offset from the most stable computed form (meV/atom): 0
Uncorrected energy (eV/cell): -16.6
Crystal system: cubic
M_tot (μB per cell): 3.0
Fermi-level density of states (states/eV/atom): 0.8254

The structure in CIF format:
```
data_TiSiI3
_cell_length_a 5.569
_cell_length_b 5.569
_cell_length_c 5.569
_cell_angle_alpha 90.00
_cell_angle_beta 90.00
_cell_angle_gamma 90.00
_symmetry_space_group_name_H-M 'P m -3 m'
_symmetry_Int_Tables_number 221
_symmetry_space_group_name_Hall '-P 4 2 3'
loop_
_atom_site_label
_atom_site_type_symbol
_atom_site_fract_x
_atom_site_fract_y
_atom_site_fract_z
Ti1 Ti 0.000 0.000 0.000
Si1 Si 0.500 0.500 0.500
I1 I 0.000 0.000 0.500
```

***

Entry 12:
A relaxed Ti2SiI crystal, computed with PBE-GGA.

Offset from the most stable computed form (meV/atom): 316
Uncorrected energy (eV/cell): -85.1
Crystal system: tetragonal
M_tot (μB per cell): 2.2
Fermi-level density of states (states/eV/atom): 0.9988

The structure in CIF format:
```
data_Ti2SiI
_cell_length_a 5.771
_cell_length_b 5.771
_cell_length_c 12.715
_cell_angle_alpha 90.00
_cell_angle_beta 90.00
_cell_angle_gamma 90.00
_symmetry_space_group_name_H-M 'I -4 2 d'
_symmetry_Int_Tables_number 122
_symmetry_space_group_name_Hall 'I -4 2bw'
loop_
_atom_site_label
_atom_site_type_symbol
_atom_site_fract_x
_atom_site_fract_y
_atom_site_fract_z
Ti1 Ti 0.191 0.250 0.125
Si1 Si 0.000 0.000 0.000
I1 I 0.000 0.000 0.500
```